(1)
First-principles (PBE) data for a geometry-optimized Nd3Mg2In structure, as listed in Alexandria.

Output
* E_form: -0.2338 eV per atom
* E above lowest polymorph: 15 meV/atom

Lattice parameters (Å, degrees): 3.8763 3.8763 11.7069 90.00 90.00 90.00
With the nearest neighbours (Å) after each atom.
Space group P4/mmm (No. 123)
Symmetry-distinct sites (fractional):
Nd (0.0000, 0.0000, 0.0000)  8 Mg 3.34
Nd (0.0000, 0.0000, 0.3338)  4 In 3.36, 4 Mg 3.39
Mg (0.5000, 0.5000, 0.1636)  8 Nd 3.34-3.39
In (0.5000, 0.5000, 0.5000)  8 Nd 3.36


(2)
First-principles (PBE) data for a geometry-optimized NdMgIn structure, as listed in Alexandria.

Output
* E_form: -0.2492 eV per atom

Lattice parameters (Å, degrees): 3.5442 3.5442 12.8744 90.00 90.00 90.00
With the nearest neighbours (Å) after each atom.
Space group I4mm (No. 107)
Symmetry-distinct sites (fractional):
Nd (0.0000, 0.0000, 0.0000)  4 In 3.35, 4 Mg 3.47, 4 Nd 3.54
Mg (0.0000, 0.0000, 0.6866)  4 In 3.09
In (0.0000, 0.0000, 0.3273)  4 Mg 3.09, 4 Nd 3.35


(3)
First-principles (PBE) data for a geometry-optimized NdMgIn structure, as listed in Alexandria.

Output
* E_form: -0.3242 eV per atom

Lattice parameters (Å, degrees): 4.7207 15.1290 4.5297 90.00 90.00 90.00
With the nearest neighbours (Å) after each atom.
Space group Cmmm (No. 65)
Symmetry-distinct sites (fractional):
Nd (0.0000, 0.1647, 0.0000)  6 In 3.28-3.61, 4 Mg 3.37-3.43, 2 Nd 3.50
Mg (0.0000, 0.0000, 0.5000)  4 In 3.27, 4 Mg 3.27, 4 Nd 3.37
Mg (0.0000, 0.5000, 0.0000)  4 In 3.20, 4 Mg 3.27, 4 Nd 3.43
In (0.0000, 0.3504, 0.5000)  4 Mg 3.20-3.27, 4 Nd 3.28


(4)
First-principles (PBE) data for a geometry-optimized Nd2Mg16In structure, as listed in Alexandria.

Output
* E_form: -0.0805 eV per atom

Lattice parameters (Å, degrees): 10.2745 10.2745 15.2091 90.00 90.00 120.00
With the nearest neighbours (Å) after each atom.
Space group R3m (No. 160, hexagonal axes)
Symmetry-distinct sites (fractional):
Nd (0.0000, 0.0000, 0.0000)  1 In 3.41, 12 Mg 3.59-3.77
Nd (0.0000, 0.0000, 0.3464)  16 Mg 3.54-3.81
Mg (0.0000, 0.0000, 0.5794)  1 In 2.98, 6 Mg 3.14-3.32
Mg (0.0001, 0.3027, 0.6729)  8 Mg 2.99-3.19
Mg (0.0036, 0.5018, 0.1726)  9 Mg 2.99-3.14, 1 In 3.15
Mg (0.0082, 0.5041, 0.8249)  8 Mg 2.92-3.18
Mg (0.1715, 0.3430, 0.8545)  8 Mg 2.92-3.19
In (0.0000, 0.0000, 0.7755)  7 Mg 2.98-3.28


(5)
First-principles (PBE) data for a geometry-optimized Nd5Mg4In structure, as listed in Alexandria.

Output
* E_form: -0.1858 eV per atom

Lattice parameters (Å, degrees): 3.8805 3.8805 19.4994 90.00 90.00 90.00
With the nearest neighbours (Å) after each atom.
Space group P4/mmm (No. 123)
Symmetry-distinct sites (fractional):
Nd (0.0000, 0.0000, 0.0000)  8 Mg 3.36
Nd (0.0000, 0.0000, 0.2002)  8 Mg 3.34-3.37
Nd (0.0000, 0.0000, 0.4000)  4 In 3.37, 4 Mg 3.39
Mg (0.5000, 0.5000, 0.0997)  8 Nd 3.36-3.37
Mg (0.5000, 0.5000, 0.2980)  8 Nd 3.34-3.39
In (0.5000, 0.5000, 0.5000)  8 Nd 3.37


(6)
First-principles (PBE) data for a geometry-optimized Nd2Mg3In4 structure, as listed in Alexandria.

Output
* E_form: -0.3141 eV per atom

Lattice parameters (Å, degrees): 6.4135 17.1123 8.4798 90.00 90.00 90.00
With the nearest neighbours (Å) after each atom.
Space group Cmce (No. 64)
Symmetry-distinct sites (fractional):
Nd (0.0000, 0.1027, 0.0990)  7 In 3.42-3.48, 4 Mg 3.48-3.75
Mg (0.0000, 0.0000, 0.5000)  6 In 2.86-2.95
Mg (0.2500, 0.2332, 0.7500)  5 In 2.94-3.01, 2 Mg 3.21
In (0.0000, 0.1719, 0.4769)  5 Mg 2.95-3.01
In (0.2500, 0.0613, 0.7500)  3 Mg 2.86-2.94


(7)
First-principles (PBE) data for a geometry-optimized Nd2MgIn structure, as listed in Alexandria.

Output
* E_form: -0.3344 eV per atom
* E above lowest polymorph: 0 meV/atom

Lattice parameters (Å, degrees): 7.7501 7.7501 7.7501 90.00 90.00 90.00
With the nearest neighbours (Å) after each atom.
Space group Fm-3m (No. 225)
Symmetry-distinct sites (fractional):
Nd (0.2500, 0.2500, 0.2500)  4 In 3.36, 4 Mg 3.36
Mg (0.0000, 0.0000, 0.0000)  8 Nd 3.36
In (0.0000, 0.0000, 0.5000)  8 Nd 3.36


(8)
First-principles (PBE) data for a geometry-optimized Nd5MgIn6 structure, as listed in Alexandria.

Output
* E_form: -0.4318 eV per atom

Lattice parameters (Å, degrees): 5.3886 7.7226 16.2536 90.00 90.00 90.00
With the nearest neighbours (Å) after each atom.
Space group Immm (No. 71)
Symmetry-distinct sites (fractional):
Nd (0.0000, 0.0000, 0.0000)  8 In 3.29-3.38
Nd (0.0000, 0.0000, 0.3327)  8 In 3.27-3.45
Nd (0.0000, 0.5000, 0.3341)  8 In 3.36-3.39
Mg (0.0000, 0.5000, 0.0000)  8 In 3.20-3.25
In (0.0000, 0.2350, 0.5000)  2 Mg 3.25, 6 Nd 3.27-3.39, 1 In 3.63
In (0.0000, 0.2596, 0.1602)  1 Mg 3.20, 7 Nd 3.27-3.45


What DOS at the Fermi energy values result from the calculations? In sequence: 1.343 0.791 0.979 0.345 1.223 0.747 0.920 0.613 states/eV/atom.